Record 1
Below is a relaxed structure of Sm2CdBi, with properties calculated at the PBE level.

Values from the calculation:
The calculation puts the energy above the most stable polymorph in this dataset at 94 meV per atom. Its electronic total energy is -4.004 eV/atom. As for the calculated formation energy: -0.445 eV per atom.

extended XYZ file:
```
4
Lattice="4.430 0.000 0.000 2.215 3.837 0.000 2.215 1.279 7.683" Properties=species:S:1:pos:R:3 pbc="T T T"
Sm 2.215 1.279 1.991
Sm 6.645 3.837 5.692
Cd 0.000 0.000 0.000
Bi 4.430 2.558 3.841
```

---

Record 2
Below is a relaxed structure of Sm2CdBi4, with properties calculated at the PBE level.

Values from the calculation:
Its electronic total energy is -4.208 eV/atom. As for the calculated formation energy: -0.511 eV per atom.

extended XYZ file:
```
7
Lattice="4.572 0.000 0.000 0.000 4.572 0.000 0.000 0.000 10.493" Properties=species:S:1:pos:R:3 pbc="T T T"
Cd 2.286 2.286 0.000
Bi 2.286 2.286 5.246
Bi 0.000 0.000 5.246
Bi 0.000 2.286 8.584
Bi 2.286 0.000 1.909
Sm 0.000 2.286 2.695
Sm 2.286 0.000 7.798
```

---

Record 3
Below is a relaxed structure of SmCdBi3, with properties calculated at the PBE level.

Values from the calculation:
Its electronic total energy is -3.790 eV/atom. As for the calculated formation energy: -0.335 eV per atom.

extended XYZ file:
```
20
Lattice="-0.365 -5.519 -3.468 6.419 -0.839 0.659 -2.176 -7.318 11.874" Properties=species:S:1:pos:R:3 pbc="T T T"
Cd 2.719 -9.821 9.196
Cd 1.158 -3.856 -0.131
Cd 1.341 -1.097 1.604
Cd 2.902 -7.061 10.930
Bi 0.335 -6.625 4.362
Bi 4.870 -5.442 -1.070
Bi 1.409 -7.101 8.078
Bi 3.725 -4.292 6.437
Bi 0.518 -3.866 6.096
Bi 2.468 -6.576 0.987
Bi 3.542 -7.052 4.703
Bi 4.032 -2.549 0.559
Bi 5.605 -4.203 3.025
Bi -0.155 -11.127 8.506
Bi -1.728 -9.474 6.040
Bi -0.993 -8.234 10.135
Sm -0.889 -6.486 1.198
Sm 1.534 -9.551 5.820
Sm 2.343 -4.125 3.245
Sm 4.766 -7.190 7.867
```

---

Record 4
Below is a relaxed structure of SmCd2Bi2, with properties calculated at the PBE level.

Values from the calculation:
Its electronic total energy is -3.213 eV/atom. As for the calculated formation energy: -0.351 eV per atom.

extended XYZ file:
```
10
Lattice="4.517 0.000 -0.803 0.000 4.593 0.000 0.026 0.000 13.254" Properties=species:S:1:pos:R:3 pbc="T T T"
Sm 2.949 3.445 3.482
Sm 1.594 1.148 8.970
Bi 3.400 1.148 6.023
Bi 3.943 3.445 9.078
Bi 1.143 3.445 6.429
Bi 0.600 1.148 3.373
Cd 4.353 1.148 11.381
Cd 0.190 3.445 1.070
Cd 2.436 1.148 0.596
Cd 2.107 3.445 11.855
```

---

Record 5
Below is a relaxed structure of SmCdBi, with properties calculated at the PBE level.

Values from the calculation:
The calculation puts the energy above the most stable polymorph in this dataset at 97 meV per atom. Its electronic total energy is -3.483 eV/atom. As for the calculated formation energy: -0.311 eV per atom.

extended XYZ file:
```
6
Lattice="5.025 0.000 0.000 2.513 4.352 0.000 2.513 1.451 8.566" Properties=species:S:1:pos:R:3 pbc="T T T"
Cd 7.538 4.352 4.217
Cd 2.513 1.451 4.349
Bi 2.513 1.451 1.043
Bi 7.538 4.352 7.523
Sm 5.025 2.901 2.396
Sm 5.025 2.901 6.170
```

---

Record 6
Below is a relaxed structure of SmCdBi, with properties calculated at the PBE level.

Values from the calculation:
The calculation puts the energy above the most stable polymorph in this dataset at 0 meV per atom. Its electronic total energy is -3.580 eV/atom. As for the calculated formation energy: -0.408 eV per atom.

extended XYZ file:
```
3
Lattice="4.384 0.000 0.000 0.000 4.827 0.000 0.000 -2.414 4.180" Properties=species:S:1:pos:R:3 pbc="T T T"
Sm 3.062 2.414 1.393
Bi 1.248 0.000 2.787
Cd 0.074 0.000 0.000
```

---

Record 7
Below is a relaxed structure of Sm7Cd2Bi2, with properties calculated at the PBE level.

Values from the calculation:
Its electronic total energy is -3.951 eV/atom. As for the calculated formation energy: -0.076 eV per atom.

extended XYZ file:
```
11
Lattice="7.588 -0.003 -0.319 0.003 6.715 0.003 -0.791 -0.003 7.554" Properties=species:S:1:pos:R:3 pbc="T T T"
Sm 7.192 1.735 3.462
Sm 0.000 0.000 0.000
Sm -0.391 4.974 3.776
Sm 3.398 1.693 3.620
Sm 3.792 1.738 -0.157
Sm 3.008 4.971 7.395
Sm 3.403 5.016 3.618
Bi 5.479 3.353 5.832
Bi 1.321 3.357 1.406
Cd 5.312 6.712 1.826
Cd 1.489 -0.003 5.412
```

---

Record 8
Below is a relaxed structure of Sm8Cd2Bi, with properties calculated at the PBE level.

Values from the calculation:
Its electronic total energy is -4.138 eV/atom. As for the calculated formation energy: -0.187 eV per atom.

extended XYZ file:
```
11
Lattice="-4.256 2.933 -0.913 -1.153 -3.648 -6.350 -2.611 -6.360 6.832" Properties=species:S:1:pos:R:3 pbc="T T T"
Sm -1.100 -2.981 -4.450
Sm -6.920 -4.094 4.020
Sm -3.216 -3.428 3.979
Sm -2.247 -3.069 0.614
Sm -3.552 -1.138 -2.186
Sm -5.773 -4.006 -1.045
Sm -4.468 -5.937 1.755
Sm -4.804 -3.647 -4.409
Cd -2.628 -4.475 -2.129
Cd -5.392 -2.599 1.699
Bi -2.128 1.467 -0.456
```

---

Record 9
Below is a relaxed structure of Sm5Cd2Bi, with properties calculated at the PBE level.

Values from the calculation:
Its electronic total energy is -4.030 eV/atom. As for the calculated formation energy: -0.367 eV per atom.

extended XYZ file:
```
16
Lattice="8.650 0.000 0.000 0.000 8.650 0.000 -4.325 -4.325 6.505" Properties=species:S:1:pos:R:3 pbc="T T T"
Bi 0.000 0.000 3.252
Bi 4.325 4.325 3.252
Sm 0.000 0.000 0.000
Sm -3.000 1.325 4.569
Sm 5.650 7.326 1.936
Sm 3.000 1.325 1.936
Sm -1.325 -3.000 4.569
Sm 3.000 -1.325 4.569
Sm 1.325 3.000 4.569
Sm 4.325 4.325 0.000
Sm 7.326 3.000 1.936
Sm 1.325 5.650 1.936
Cd 3.110 7.435 0.000
Cd 1.216 3.110 0.000
Cd 7.435 5.541 0.000
Cd 5.541 1.216 0.000
```

---

Record 10
Below is a relaxed structure of Sm3CdBi, with properties calculated at the PBE level.

Values from the calculation:
Its electronic total energy is -3.884 eV/atom. As for the calculated formation energy: -0.093 eV per atom.

extended XYZ file:
```
10
Lattice="-2.606 -0.465 -4.591 -2.910 -7.084 2.370 -4.764 7.156 1.979" Properties=species:S:1:pos:R:3 pbc="T T T"
Bi -3.130 -2.569 2.037
Bi -4.544 2.641 2.312
Cd -7.875 -0.801 1.494
Cd -2.406 0.408 -1.734
Sm -1.958 1.138 0.996
Sm -2.243 -2.521 -1.530
Sm -5.140 -0.197 -0.120
Sm -3.685 3.345 -1.306
Sm -3.273 -5.028 -0.690
Sm -5.716 -1.066 3.353
```

---

Record 11
Below is a relaxed structure of SmTmCdBi, with properties calculated at the PBE level.

Values from the calculation:
Its electronic total energy is -3.901 eV/atom. As for the calculated formation energy: -0.404 eV per atom.

extended XYZ file:
```
4
Lattice="-1.215 -2.762 -4.496 3.562 -3.519 -2.061 -0.982 -5.318 0.271" Properties=species:S:1:pos:R:3 pbc="T T T"
Bi 0.000 0.000 0.000
Cd 0.683 -5.799 -3.143
Sm 1.024 -8.699 -4.715
Tm 0.341 -2.900 -1.572
```

---

Record 12
Below is a relaxed structure of SmYCdBi, with properties calculated at the PBE level.

Values from the calculation:
Its electronic total energy is -4.447 eV/atom. As for the calculated formation energy: -0.452 eV per atom.

extended XYZ file:
```
4
Lattice="5.437 0.000 0.000 2.719 4.709 0.000 2.719 1.570 4.439" Properties=species:S:1:pos:R:3 pbc="T T T"
Sm 5.437 3.139 2.220
Y 0.000 0.000 0.000
Cd 2.719 1.570 1.110
Bi 8.156 4.709 3.330
```